# 1
A geometry-optimized ReC3 structure, computed with PBE.

Calculated values
* E_form: 2210 meV per atom
* E above lowest polymorph: 1378 meV per atom
* V: 218.35 Å³ per cell
* SG: No. 194
* ρ: 6.8 g/cm3

a b c (Å): 4.0743 4.0743 15.1884
angles (deg): 90.00 90.00 120.00
Last column: nearest neighbours and their distance in Å.
Fractional positions:
Re 0.0000 0.0000 0.0000  6 C 2.04
Re 0.0000 0.0000 0.5000  6 C 2.04
Re 0.3333 0.6667 0.2500  6 C 2.06
Re 0.6667 0.3333 0.7500  6 C 2.06
C 0.5000 0.0000 0.0000  2 Re 2.04, 4 C 2.04
C 0.5000 0.0000 0.5000  2 Re 2.04, 4 C 2.04
C 0.0000 0.5000 0.0000  4 C 2.04, 2 Re 2.04
C 0.5000 0.5000 0.0000  4 C 2.04, 2 Re 2.04
C 0.5000 0.5000 0.5000  4 C 2.04, 2 Re 2.04
C 0.0000 0.5000 0.5000  4 C 2.04, 2 Re 2.04
C 0.8804 0.7608 0.2500  2 C 1.46
C 0.1196 0.2392 0.7500  2 C 1.46
C 0.2392 0.1196 0.2500  2 C 1.46
C 0.8804 0.1196 0.2500  2 C 1.46
C 0.1196 0.8804 0.7500  2 C 1.46
C 0.7608 0.8804 0.7500  2 C 1.46

***

# 2
A geometry-optimized ReC3 structure, computed with PBE.

Calculated values
* E_form: 2379 meV per atom
* E above lowest polymorph: 1546 meV per atom
* V: 36.52 Å³ per cell
* SG: No. 166
* ρ: 10.1 g/cm3

a b c (Å): 3.8406 3.8406 3.8406
angles (deg): 113.14 113.14 113.14
Last column: nearest neighbours and their distance in Å.
Fractional positions:
Re 0.5000 0.5000 0.0000  6 C 2.12
C 0.0000 0.0000 0.0000  4 C 2.12, 2 Re 2.12
C 0.0000 0.5000 0.5000  2 Re 2.12, 4 C 2.12
C 0.5000 0.0000 0.5000  4 C 2.12, 2 Re 2.12

***

# 3
A geometry-optimized Re2C structure, computed with PBE.

Calculated values
* E_form: 455 meV per atom
* E above lowest polymorph: 488 meV per atom
* V: 35.75 Å³ per cell
* SG: No. 164
* ρ: 17.9 g/cm3

a b c (Å): 2.8669 2.8669 5.0229
angles (deg): 90.00 90.00 120.00
Last column: nearest neighbours and their distance in Å.
Fractional positions:
Re 0.6667 0.3333 0.7281  3 C 2.15
Re 0.3333 0.6667 0.2719  3 C 2.15
C 0.0000 0.0000 0.0000  6 Re 2.15